LaNd3Pb2 after structural relaxation. Source: Alexandria, functional PBE.

Cell lengths 4.7551, 10.7546, 9.9680 Å; angles 123.99, 90.00, 102.77 degrees
Fractional coordinates of all 12 atoms:
Pb 0.5078 0.0156 0.1660
Pb 0.2445 0.4891 0.7768
Pb 0.4922 0.9844 0.8340
Pb 0.7555 0.5109 0.2232
La 0.8852 0.7703 0.9002
La 0.1148 0.2297 0.0998
Nd 0.9437 0.8873 0.5733
Nd 0.3073 0.6146 0.5025
Nd 0.3543 0.7087 0.1895
Nd 0.6457 0.2913 0.8105
Nd 0.0563 0.1127 0.4267
Nd 0.6927 0.3854 0.4975

Output
**DFT formation energy**: -0.393 eV per atom
**Calculated volume**: 33.947 A^3/atom
**E_tot**: -29.0 eV/f.u.
**Space group**: C2/m, No. 12